Record 1
VASP calculation (PBE) on a geometry-optimized Rb2MnTeH structure.

Values from the calculation:
D(E_F)	2.28	states/eV/f.u.
magnetization	4.35	μB/cell
DFT total energy	-3.150	eV/atom
space-group type	P4/mmm

Unit cell a=4.917 b=6.226 c=4.917 alpha=90.00 beta=90.00 gamma=90.00
Positions (direct):
Rb (0.000, 0.000, 0.500)
Rb (0.500, 0.000, 0.000)
H (0.000, 0.000, 0.000)
Te (0.000, 0.500, 0.000)
Mn (0.500, 0.500, 0.500)



Record 2
VASP calculation (PBE) on a geometry-optimized Rb2MnTlH6 structure.

Values from the calculation:
D(E_F)	4.32	states/eV/f.u.
magnetization	3.31	μB/cell
DFT total energy	-3.375	eV/atom
space-group type	Fm-3m

Unit cell a=6.045 b=6.045 c=6.045 alpha=60.00 beta=60.00 gamma=60.00
Positions (direct):
H (0.202, 0.798, 0.202)
H (0.798, 0.202, 0.202)
H (0.798, 0.202, 0.798)
H (0.202, 0.202, 0.798)
H (0.202, 0.798, 0.798)
H (0.798, 0.798, 0.202)
Rb (0.750, 0.750, 0.750)
Rb (0.250, 0.250, 0.250)
Tl (0.500, 0.500, 0.500)
Mn (0.000, 0.000, 0.000)



Record 3
VASP calculation (PBE) on a geometry-optimized Rb2MnTlH structure.

Values from the calculation:
D(E_F)	1.83	states/eV/f.u.
magnetization	3.37	μB/cell
DFT total energy	-2.677	eV/atom
space-group type	P4/mmm

Unit cell a=6.776 b=5.141 c=6.776 alpha=90.00 beta=90.00 gamma=90.00
Positions (direct):
Rb (0.500, 0.000, 0.000)
Rb (0.000, 0.000, 0.500)
H (0.500, 0.500, 0.500)
Mn (0.000, 0.000, 0.000)
Tl (0.000, 0.500, 0.000)



Record 4
VASP calculation (PBE) on a geometry-optimized RbYMnH2 structure.

Values from the calculation:
energy above the most stable polymorph in this dataset	0	meV/atom
D(E_F)	2.83	states/eV/f.u.
magnetization	3.34	μB/cell
space-group type	P4/mmm

Unit cell a=4.621 b=5.542 c=4.621 alpha=90.00 beta=90.00 gamma=90.00
Positions (direct):
H (0.500, 0.000, 0.000)
H (0.000, 0.000, 0.500)
Y (0.000, 0.000, 0.000)
Rb (0.500, 0.500, 0.500)
Mn (0.000, 0.500, 0.000)



Record 5
VASP calculation (PBE) on a geometry-optimized RbYMnH2 structure.

Values from the calculation:
energy above the most stable polymorph in this dataset	375	meV/atom
D(E_F)	3.67	states/eV/f.u.
magnetization	5.47	μB/cell
space-group type	P4/mmm

Unit cell a=4.454 b=7.794 c=4.454 alpha=90.00 beta=90.00 gamma=90.00
Positions (direct):
H (0.500, 0.000, 0.000)
H (0.000, 0.000, 0.500)
Rb (0.000, 0.500, 0.000)
Y (0.000, 0.000, 0.000)
Mn (0.500, 0.500, 0.500)



Record 6
VASP calculation (PBE) on a geometry-optimized RbMnZnH6 structure.

Values from the calculation:
D(E_F)	0.08	states/eV/f.u.
magnetization	1.99	μB/cell
DFT total energy	-3.564	eV/atom
space-group type	P-6m2

Unit cell a=4.595 b=4.595 c=5.681 alpha=90.00 beta=90.00 gamma=60.00
Positions (direct):
H (0.481, 0.481, 0.302)
H (0.481, 0.481, 0.698)
H (0.481, 0.039, 0.698)
H (0.039, 0.481, 0.698)
H (0.481, 0.039, 0.302)
H (0.039, 0.481, 0.302)
Zn (0.667, 0.667, 0.500)
Mn (0.333, 0.333, 0.500)
Rb (0.000, 0.000, 0.000)



Record 7
VASP calculation (PBE) on a geometry-optimized Mn3ReH structure.

Values from the calculation:
energy above the most stable polymorph in this dataset	128	meV/atom
D(E_F)	5.44	states/eV/f.u.
magnetization	1.57	μB/cell
space-group type	P2_1/c

Unit cell a=16.859 b=4.539 c=7.564 alpha=90.00 beta=159.30 gamma=90.00
Positions (direct):
Re (0.590, 0.263, 0.627)
Re (0.910, 0.763, 0.873)
Re (0.410, 0.737, 0.373)
Re (0.090, 0.237, 0.127)
Mn (0.962, 0.766, 0.345)
Mn (0.264, 0.539, 0.740)
Mn (0.236, 0.039, 0.760)
Mn (0.038, 0.234, 0.655)
Mn (0.115, 0.727, 0.979)
Mn (0.615, 0.773, 0.479)
Mn (0.385, 0.227, 0.521)
Mn (0.885, 0.273, 0.021)
Mn (0.462, 0.734, 0.845)
Mn (0.736, 0.461, 0.260)
Mn (0.538, 0.266, 0.155)
Mn (0.764, 0.961, 0.240)
H (0.883, 0.575, 0.378)
H (0.617, 0.075, 0.122)
H (0.383, 0.925, 0.878)
H (0.117, 0.425, 0.622)



Record 8
VASP calculation (PBE) on a geometry-optimized Mn3ReH structure.

Values from the calculation:
energy above the most stable polymorph in this dataset	104	meV/atom
D(E_F)	4.38	states/eV/f.u.
magnetization	0.01	μB/cell
space-group type	P2_1/m

Unit cell a=4.262 b=5.233 c=4.516 alpha=90.00 beta=89.76 gamma=90.00
Positions (direct):
Mn (0.267, 0.486, 0.840)
Mn (0.709, 0.750, 0.674)
Mn (0.733, 0.986, 0.160)
Mn (0.267, 0.014, 0.840)
Mn (0.733, 0.514, 0.160)
Mn (0.291, 0.250, 0.326)
H (0.904, 0.250, 0.299)
H (0.096, 0.750, 0.701)
Re (0.745, 0.250, 0.680)
Re (0.255, 0.750, 0.320)



Record 9
VASP calculation (PBE) on a geometry-optimized Mn3ReH structure.

Values from the calculation:
energy above the most stable polymorph in this dataset	559	meV/atom
D(E_F)	5.66	states/eV/f.u.
magnetization	4.79	μB/cell
space-group type	R3m

Unit cell a=4.116 b=4.116 c=4.116 alpha=106.72 beta=106.72 gamma=106.72
Positions (direct):
Mn (0.648, 0.648, 0.245)
Mn (0.648, 0.245, 0.648)
Mn (0.245, 0.648, 0.648)
H (0.354, 0.354, 0.354)
Re (0.980, 0.980, 0.980)



Record 10
VASP calculation (PBE) on a geometry-optimized Mn3ReH structure.

Values from the calculation:
energy above the most stable polymorph in this dataset	27	meV/atom
D(E_F)	3.75	states/eV/f.u.
magnetization	2.43	μB/cell
space-group type	Pm-3m

Unit cell a=3.676 b=3.676 c=3.676 alpha=90.00 beta=90.00 gamma=90.00
Positions (direct):
Mn (0.500, 0.000, 0.000)
Mn (0.000, 0.500, 0.000)
Mn (0.000, 0.000, 0.500)
H (0.000, 0.000, 0.000)
Re (0.500, 0.500, 0.500)



Record 11
VASP calculation (PBE) on a geometry-optimized Mn3ReH structure.

Values from the calculation:
energy above the most stable polymorph in this dataset	63	meV/atom
D(E_F)	3.64	states/eV/f.u.
magnetization	0.78	μB/cell
space-group type	Amm2

Unit cell a=2.637 b=4.578 c=4.578 alpha=109.58 beta=90.00 gamma=90.00
Positions (direct):
H (0.500, 0.024, 0.976)
Mn (0.500, 0.635, 0.848)
Mn (0.000, 0.170, 0.830)
Mn (0.500, 0.152, 0.365)
Re (0.000, 0.647, 0.353)



Record 12
VASP calculation (PBE) on a geometry-optimized Mn3ReH structure.

Values from the calculation:
energy above the most stable polymorph in this dataset	109	meV/atom
D(E_F)	4.34	states/eV/f.u.
magnetization	9.82	μB/cell
space-group type	R-3c

Unit cell a=4.714 b=4.714 c=4.714 alpha=91.44 beta=91.44 gamma=91.44
Positions (direct):
Mn (0.514, 0.250, 0.986)
Mn (0.014, 0.486, 0.750)
Mn (0.486, 0.750, 0.014)
Mn (0.750, 0.014, 0.486)
Mn (0.986, 0.514, 0.250)
Mn (0.250, 0.986, 0.514)
Re (0.000, 0.000, 0.000)
Re (0.500, 0.500, 0.500)
H (0.750, 0.750, 0.750)
H (0.250, 0.250, 0.250)



Record 13
VASP calculation (PBE) on a geometry-optimized Mn3ReH structure.

Values from the calculation:
energy above the most stable polymorph in this dataset	893	meV/atom
D(E_F)	5.58	states/eV/f.u.
magnetization	0.27	μB/cell
space-group type	P4mm

Unit cell a=3.437 b=3.437 c=5.894 alpha=90.00 beta=90.00 gamma=90.00
Positions (direct):
Mn (0.000, 0.000, 0.729)
Mn (0.000, 0.500, 0.428)
Mn (0.500, 0.000, 0.428)
H (0.500, 0.500, 0.541)
Re (0.000, 0.000, 0.138)



Record 14
VASP calculation (PBE) on a geometry-optimized Mn3ReH structure.

Values from the calculation:
energy above the most stable polymorph in this dataset	244	meV/atom
D(E_F)	4.15	states/eV/f.u.
magnetization	1.61	μB/cell
space-group type	P2_1/c

Unit cell a=19.220 b=5.398 c=7.570 alpha=90.00 beta=164.62 gamma=90.00
Positions (direct):
Mn (0.167, 0.373, 0.498)
Mn (0.333, 0.873, 0.002)
Mn (0.852, 0.982, 0.756)
Mn (0.148, 0.018, 0.244)
Mn (0.833, 0.627, 0.502)
Mn (0.648, 0.482, 0.744)
Mn (0.396, 0.871, 0.540)
Mn (0.352, 0.518, 0.256)
Mn (0.104, 0.371, 0.960)
Mn (0.896, 0.629, 0.040)
Mn (0.604, 0.129, 0.460)
Mn (0.667, 0.127, 0.998)
H (0.569, 0.800, 0.748)
H (0.069, 0.700, 0.248)
H (0.431, 0.200, 0.252)
H (0.931, 0.300, 0.752)
Re (0.920, 0.836, 0.421)
Re (0.580, 0.336, 0.079)
Re (0.080, 0.164, 0.579)
Re (0.420, 0.664, 0.921)



Record 15
VASP calculation (PBE) on a geometry-optimized Mn3ReH structure.

Values from the calculation:
energy above the most stable polymorph in this dataset	0	meV/atom
D(E_F)	3.91	states/eV/f.u.
magnetization	0.00	μB/cell
space-group type	C2/c

Unit cell a=9.536 b=6.699 c=6.699 alpha=77.68 beta=123.54 gamma=56.46
Positions (direct):
H (0.250, 0.564, 0.064)
H (0.750, 0.436, 0.936)
H (0.750, 0.190, 0.690)
H (0.250, 0.810, 0.310)
Mn (0.588, 0.349, 0.272)
Mn (0.912, 0.772, 0.849)
Mn (0.915, 0.254, 0.360)
Mn (0.085, 0.746, 0.640)
Mn (0.415, 0.140, 0.246)
Mn (0.079, 0.983, 0.886)
Mn (0.579, 0.614, 0.517)
Mn (0.088, 0.228, 0.151)
Mn (0.921, 0.017, 0.114)
Mn (0.412, 0.651, 0.728)
Mn (0.421, 0.386, 0.483)
Mn (0.585, 0.860, 0.754)
Re (0.919, 0.516, 0.622)
Re (0.419, 0.878, 0.984)
Re (0.081, 0.484, 0.378)
Re (0.581, 0.122, 0.016)



Record 16
VASP calculation (PBE) on a geometry-optimized Mn3ReH structure.

Values from the calculation:
energy above the most stable polymorph in this dataset	52	meV/atom
D(E_F)	4.71	states/eV/f.u.
magnetization	0.97	μB/cell
space-group type	C2/m

Unit cell a=13.335 b=4.525 c=4.525 alpha=131.99 beta=142.47 gamma=37.53
Positions (direct):
Mn (0.692, 0.182, 0.818)
Mn (0.814, 0.313, 0.687)
Mn (0.942, 0.431, 0.569)
Mn (0.186, 0.687, 0.313)
Mn (0.308, 0.818, 0.182)
Mn (0.058, 0.569, 0.431)
H (0.936, 0.940, 0.060)
H (0.064, 0.060, 0.940)
Re (0.571, 0.049, 0.951)
Re (0.429, 0.951, 0.049)



Record 17
VASP calculation (PBE) on a geometry-optimized Mn3ReH structure.

Values from the calculation:
energy above the most stable polymorph in this dataset	29	meV/atom
D(E_F)	3.54	states/eV/f.u.
magnetization	0.00	μB/cell
space-group type	Cm

Unit cell a=4.900 b=5.241 c=4.958 alpha=106.08 beta=115.82 gamma=104.90
Positions (direct):
Re (0.054, 0.845, 0.693)
Re (0.554, 0.345, 0.193)
Mn (0.141, 0.502, 0.293)
Mn (0.641, 0.002, 0.793)
Mn (0.122, 0.011, 0.294)
Mn (0.622, 0.511, 0.794)
Mn (0.058, 0.341, 0.697)
Mn (0.558, 0.841, 0.197)
H (0.593, 0.166, 0.514)
H (0.093, 0.666, 0.014)



Record 18
VASP calculation (PBE) on a geometry-optimized Mn3ReH structure.

Values from the calculation:
energy above the most stable polymorph in this dataset	22	meV/atom
D(E_F)	3.02	states/eV/f.u.
magnetization	0.07	μB/cell
space-group type	P1

Unit cell a=5.219 b=4.968 c=4.977 alpha=63.44 beta=74.80 gamma=105.35
Positions (direct):
H (0.509, 0.172, 0.407)
H (0.995, 0.188, 0.386)
Mn (0.169, 0.378, 0.942)
Mn (0.658, 0.859, 0.454)
Mn (0.331, 0.459, 0.371)
Mn (0.660, 0.370, 0.944)
Mn (0.327, 0.955, 0.873)
Mn (0.827, 0.459, 0.368)
Re (0.159, 0.849, 0.445)
Re (0.819, 0.955, 0.891)



Record 19
VASP calculation (PBE) on a geometry-optimized Mn3ReH structure.

Values from the calculation:
energy above the most stable polymorph in this dataset	493	meV/atom
D(E_F)	4.61	states/eV/f.u.
magnetization	0.00	μB/cell
space-group type	Fd-3m

Unit cell a=6.730 b=6.730 c=6.730 alpha=60.00 beta=60.00 gamma=60.00
Positions (direct):
H (0.125, 0.625, 0.125)
H (0.125, 0.125, 0.625)
H (0.625, 0.125, 0.125)
H (0.125, 0.125, 0.125)
Mn (0.189, 0.811, 0.189)
Mn (0.439, 0.061, 0.061)
Mn (0.811, 0.189, 0.189)
Mn (0.811, 0.189, 0.811)
Mn (0.439, 0.061, 0.439)
Mn (0.189, 0.811, 0.811)
Mn (0.061, 0.439, 0.061)
Mn (0.439, 0.439, 0.061)
Mn (0.061, 0.061, 0.439)
Mn (0.189, 0.189, 0.811)
Mn (0.811, 0.811, 0.189)
Mn (0.061, 0.439, 0.439)
Re (0.625, 0.625, 0.125)
Re (0.625, 0.625, 0.625)
Re (0.625, 0.125, 0.625)
Re (0.125, 0.625, 0.625)



Record 20
VASP calculation (PBE) on a geometry-optimized Mn3ReH structure.

Values from the calculation:
energy above the most stable polymorph in this dataset	409	meV/atom
D(E_F)	3.73	states/eV/f.u.
magnetization	10.23	μB/cell
space-group type	P6_3/mmc

Unit cell a=4.203 b=4.203 c=7.315 alpha=90.00 beta=90.00 gamma=120.00
Positions (direct):
Mn (0.333, 0.667, 0.080)
Mn (0.667, 0.333, 0.920)
Mn (0.000, 0.000, 0.250)
Mn (0.000, 0.000, 0.750)
Mn (0.333, 0.667, 0.420)
Mn (0.667, 0.333, 0.580)
H (0.000, 0.000, 0.000)
H (0.000, 0.000, 0.500)
Re (0.667, 0.333, 0.250)
Re (0.333, 0.667, 0.750)